Entry 1:
A plane-wave DFT calculation with PBE-GGA was carried out for crystalline SmInAgPt at its relaxed geometry.

Calculated values
The total energy is -18.81 eV/f.u. As for the space group: No. 216. The value obtained for the energy of formation is -0.6144 eV per atom.

a = 4.9374 Å, b = 4.9374 Å, c = 4.9374 Å
α = 60.00°, β = 60.00°, γ = 60.00°
Closest atoms and distances in Å follow each position.
Atoms (fractional coordinates):
In  0.2500  0.2500  0.2500  4 Pt 3.02, 4 Ag 3.02
Pt  0.0000  0.0000  0.0000  4 Sm 3.02, 4 In 3.02
Sm  0.7500  0.7500  0.7500  4 Ag 3.02, 4 Pt 3.02
Ag  0.5000  0.5000  0.5000  4 In 3.02, 4 Sm 3.02

=====

Entry 2:
A plane-wave DFT calculation with PBE-GGA was carried out for crystalline SiH at its relaxed geometry.

Calculated values
The total energy is -8.00 eV/f.u. As for the space group: No. 123.

a = 8.1381 Å, b = 8.1381 Å, c = 2.5177 Å
α = 90.00°, β = 90.00°, γ = 90.00°
Closest atoms and distances in Å follow each position.
Atoms (fractional coordinates):
Si  0.1611  0.5000  0.5000  1 H 1.54
Si  0.2077  0.2077  0.0000  2 H 1.70
Si  0.5000  0.8389  0.5000  1 H 1.54
Si  0.7923  0.2077  0.0000  2 H 1.70
Si  0.2077  0.7923  0.0000  2 H 1.70
Si  0.7923  0.7923  0.0000  2 H 1.70
Si  0.8389  0.5000  0.5000  1 H 1.54
Si  0.5000  0.1611  0.5000  1 H 1.54
H  0.6501  0.5000  0.5000  1 Si 1.54
H  0.5000  0.6501  0.5000  1 Si 1.54
H  0.5000  0.3499  0.5000  1 Si 1.54
H  0.8132  0.0000  0.0000  2 Si 1.70
H  0.0000  0.8132  0.0000  2 Si 1.70
H  0.3499  0.5000  0.5000  1 Si 1.54
H  0.0000  0.1868  0.0000  2 Si 1.70
H  0.1868  0.0000  0.0000  2 Si 1.70

=====

Entry 3:
A plane-wave DFT calculation with PBE-GGA was carried out for crystalline TcSN2O at its relaxed geometry.

Calculated values
The value obtained for the formation energy from raw total energies is 1941 meV/atom. The total energy is -26.40 eV/f.u. As for the space group: No. 123.

a = 3.7124 Å, b = 3.7124 Å, c = 3.6468 Å
α = 90.00°, β = 90.00°, γ = 90.00°
Closest atoms and distances in Å follow each position.
Atoms (fractional coordinates):
S  0.0000  0.0000  0.5000  2 O 1.82
N  0.0000  0.5000  0.0000  2 O 1.86
N  0.5000  0.0000  0.0000  2 O 1.86
Tc  0.5000  0.5000  0.5000  8 N 2.60, 4 S 2.63
O  0.0000  0.0000  0.0000  2 S 1.82, 4 N 1.86